Material: Na2CrBiO6
Method: DFT, PBE+U
State: relaxed

## Properties
The value obtained for the density of states at the Fermi level is 2.963 states/eV/cell. Its space group is P4mm, No. 99. The calculation puts the total energy at -5.577 eV/atom. For the total moment, the calculation gives 0.0 μB/cell.

Unit cell a=4.4366 b=5.6129 c=5.6129 alpha=90.00 beta=90.00 gamma=90.00
With the nearest neighbours (Å) after each atom.
Sites, in units of the cell vectors:
Na: 0.0358 0.5000 0.0000  4 O 2.49
O: 0.6997 0.2203 0.2203  1 Cr 1.81
O: 0.1340 0.5000 0.5000  2 Bi 2.17-2.27
O: 0.6997 0.7797 0.2203  1 Cr 1.81
O: 0.2263 0.0000 0.0000  1 Cr 1.63
O: 0.6997 0.2203 0.7797  1 Cr 1.81
Na: 0.0358 0.0000 0.5000  4 O 2.49
Bi: 0.6233 0.5000 0.5000  6 O 2.17-2.27
Cr: 0.5928 0.0000 0.0000  5 O 1.63-1.81
O: 0.6997 0.7797 0.7797  1 Cr 1.81